PBE HoPu2Hg4, optimized geometry; electronic total energy = -5.064 eV/atom
1.0
-2.533 2.533 7.527
2.533 -2.533 7.527
2.533 2.533 -7.527
Ho Pu Hg
1 2 4
direct
0.000 0.000 0.000 Ho
0.255 0.255 0.000 Pu
0.745 0.745 0.000 Pu
0.112 0.612 0.500 Hg
0.388 0.888 0.500 Hg
0.612 0.112 0.500 Hg
0.888 0.388 0.500 Hg

=====

PBE Al2TcMo, optimized geometry; polymorph energy (0 for the lowest one) = 0.256 eV/atom; electronic total energy = -7.275 eV/atom
1.0
1.420 0.820 8.691
-1.420 0.820 8.691
0.000 -1.639 8.691
Al Tc Mo
2 1 1
direct
0.247 0.247 0.247 Al
0.753 0.753 0.753 Al
0.500 0.500 0.500 Tc
0.000 0.000 0.000 Mo